[1]
# Pa3SnOs PBE optimized geometry
# Density of states at the Fermi level (states/eV/cell): 34.66
# Electronic total energy (eV per atom): -8.893
# Density (Mg/m³): 13.13
# Crystal system: orthorhombic
data_Pa3SnOs
_chemical_formula_sum 'Pa12 Sn4 Os4'
_cell_length_a 3.5688
_cell_length_b 13.0667
_cell_length_c 10.8662
_cell_angle_alpha 90.00
_cell_angle_beta 90.00
_cell_angle_gamma 90.00
_space_group_name_H-M_alt 'C m c m'
_space_group_IT_number 63
_space_group_name_Hall '-C 2c 2'
loop_
_atom_site_label
_atom_site_type_symbol
_atom_site_fract_x
_atom_site_fract_y
_atom_site_fract_z
_atom_site_occupancy
Pa1 Pa 0.0000 0.0199 0.2500 1
Pa2 Pa 0.0000 0.3407 0.0297 1
Sn1 Sn 0.0000 0.2603 0.7500 1
Os1 Os 0.0000 0.0000 0.0000 1


[2]
# Pa2SnOs PBE optimized geometry
# Energy above the lowest structure with this stoichiometry (kJ/mol of formula units): 0
# Density of states at the Fermi level (states/eV/cell): 5.04
# Electronic total energy (eV per atom): -8.906
# Density (Mg/m³): 14.27
# Crystal system: tetragonal
data_Pa2SnOs
_chemical_formula_sum 'Pa2 Sn1 Os1'
_cell_length_a 3.2004
_cell_length_b 3.2004
_cell_length_c 8.7563
_cell_angle_alpha 90.00
_cell_angle_beta 90.00
_cell_angle_gamma 90.00
_space_group_name_H-M_alt 'P 4/m m m'
_space_group_IT_number 123
_space_group_name_Hall '-P 4 2'
loop_
_atom_site_label
_atom_site_type_symbol
_atom_site_fract_x
_atom_site_fract_y
_atom_site_fract_z
_atom_site_occupancy
Pa1 Pa 0.0000 0.0000 0.2181 1
Sn1 Sn 0.5000 0.5000 0.5000 1
Os1 Os 0.5000 0.5000 0.0000 1


[3]
# Pa2SnOs PBE optimized geometry
# Energy above the lowest structure with this stoichiometry (kJ/mol of formula units): 54
# Density of states at the Fermi level (states/eV/cell): 18.84
# Electronic total energy (eV per atom): -8.766
# Density (Mg/m³): 12.25
# Crystal system: trigonal
data_Pa2SnOs
_chemical_formula_sum 'Pa6 Sn3 Os3'
_cell_length_a 3.9955
_cell_length_b 3.9955
_cell_length_c 22.6867
_cell_angle_alpha 90.00
_cell_angle_beta 90.00
_cell_angle_gamma 120.00
_space_group_name_H-M_alt 'R -3 m'
_space_group_IT_number 166
_space_group_name_Hall '-R 3 2"'
loop_
_atom_site_label
_atom_site_type_symbol
_atom_site_fract_x
_atom_site_fract_y
_atom_site_fract_z
_atom_site_occupancy
Pa1 Pa 0.0000 0.0000 0.2347 1
Sn1 Sn 0.0000 0.0000 0.0000 1
Os1 Os 0.0000 0.0000 0.5000 1